# 1
# CeTeRu | Alexandria via LeMat-Bulk | PBE | optimized geometry
# * symmetry: No. 216
# * D(E_F): 1.70 states/eV/f.u.
# * uncorrected formation energy: -715.8 meV/atom
# * polymorph energy (0 for the lowest one): 0.00 eV per formula unit
data_CeTeRu
_cell_length_a 4.663
_cell_length_b 4.663
_cell_length_c 4.663
_cell_angle_alpha 60.00
_cell_angle_beta 60.00
_cell_angle_gamma 60.00
_symmetry_space_group_name_H-M 'P 1'
_symmetry_Int_Tables_number 1
loop_
_symmetry_equiv_pos_as_xyz
'x,y,z'
loop_
_atom_site_label
_atom_site_type_symbol
_atom_site_fract_x
_atom_site_fract_y
_atom_site_fract_z
Te1 Te 0.000 0.000 0.000
Ce1 Ce 0.500 0.500 0.500
Ru1 Ru 0.250 0.250 0.250

=====

# 2
# PuNiH8Pt2 | Alexandria via LeMat-Bulk | PBE | optimized geometry
# * calculated total energy: -4.9472 eV per atom
# * symmetry: No. 164
# * D(E_F): 15.71 states/eV/f.u.
data_PuNiH8Pt2
_cell_length_a 4.876
_cell_length_b 4.876
_cell_length_c 5.936
_cell_angle_alpha 90.00
_cell_angle_beta 90.00
_cell_angle_gamma 120.00
_symmetry_space_group_name_H-M 'P 1'
_symmetry_Int_Tables_number 1
loop_
_symmetry_equiv_pos_as_xyz
'x,y,z'
loop_
_atom_site_label
_atom_site_type_symbol
_atom_site_fract_x
_atom_site_fract_y
_atom_site_fract_z
H1 H 0.160 0.840 0.843
H2 H 0.333 0.667 0.392
H3 H 0.840 0.680 0.157
H4 H 0.320 0.160 0.157
H5 H 0.667 0.333 0.608
H6 H 0.160 0.320 0.843
H7 H 0.680 0.840 0.843
H8 H 0.840 0.160 0.157
Pt1 Pt 0.667 0.333 0.332
Pt2 Pt 0.333 0.667 0.668
Ni1 Ni 0.000 0.000 0.000
Pu1 Pu 0.000 0.000 0.500

=====

# 3
# Cs2UAsSe5 | Alexandria via LeMat-Bulk | PBE | optimized geometry
# * symmetry: No. 36
# * D(E_F): 4.59 states/eV/f.u.
# * uncorrected formation energy: -901.2 meV/atom
data_Cs2UAsSe5
_cell_length_a 4.440
_cell_length_b 10.345
_cell_length_c 15.586
_cell_angle_alpha 90.00
_cell_angle_beta 90.00
_cell_angle_gamma 102.39
_symmetry_space_group_name_H-M 'P 1'
_symmetry_Int_Tables_number 1
loop_
_symmetry_equiv_pos_as_xyz
'x,y,z'
loop_
_atom_site_label
_atom_site_type_symbol
_atom_site_fract_x
_atom_site_fract_y
_atom_site_fract_z
Cs1 Cs 0.135 0.269 0.318
Cs2 Cs 0.111 0.223 0.663
Cs3 Cs 0.865 0.731 0.818
Cs4 Cs 0.889 0.777 0.163
Se1 Se 0.322 0.644 0.411
Se2 Se 0.295 0.589 0.642
Se3 Se 0.062 0.124 0.039
Se4 Se 0.938 0.876 0.539
Se5 Se 0.323 0.646 0.996
Se6 Se 0.491 0.982 0.293
Se7 Se 0.677 0.354 0.496
Se8 Se 0.678 0.356 0.911
Se9 Se 0.509 0.018 0.793
Se10 Se 0.705 0.411 0.142
As1 As 0.555 0.110 0.930
As2 As 0.445 0.890 0.430
U1 U 0.803 0.606 0.531
U2 U 0.197 0.394 0.031

=====

# 4
# LiYAu2 | Alexandria via LeMat-Bulk | PBE | optimized geometry
# * ΔH_f (0 K): -719 meV/atom
# * symmetry: No. 12
# * D(E_F): 2.59 states/eV/f.u.
# * polymorph energy (0 for the lowest one): 0.00 eV per formula unit
data_LiYAu2
_cell_length_a 4.632
_cell_length_b 4.632
_cell_length_c 5.155
_cell_angle_alpha 63.38
_cell_angle_beta 63.38
_cell_angle_gamma 59.76
_symmetry_space_group_name_H-M 'P 1'
_symmetry_Int_Tables_number 1
loop_
_symmetry_equiv_pos_as_xyz
'x,y,z'
loop_
_atom_site_label
_atom_site_type_symbol
_atom_site_fract_x
_atom_site_fract_y
_atom_site_fract_z
Y1 Y 0.250 0.250 0.250
Au1 Au 0.024 0.024 0.930
Au2 Au 0.476 0.476 0.570
Li1 Li 0.750 0.750 0.750

=====

# 5
# BaH4C2O6 | Alexandria via LeMat-Bulk | PBE | optimized geometry
# * calculated total energy: -6.3564 eV per atom
# * symmetry: No. 14
# * D(E_F): 0.00 states/eV/f.u.
data_BaH4C2O6
_cell_length_a 7.135
_cell_length_b 7.596
_cell_length_c 11.178
_cell_angle_alpha 90.00
_cell_angle_beta 90.00
_cell_angle_gamma 104.51
_symmetry_space_group_name_H-M 'P 1'
_symmetry_Int_Tables_number 1
loop_
_symmetry_equiv_pos_as_xyz
'x,y,z'
loop_
_atom_site_label
_atom_site_type_symbol
_atom_site_fract_x
_atom_site_fract_y
_atom_site_fract_z
H1 H 0.219 0.637 0.523
H2 H 0.413 0.251 0.783
H3 H 0.743 0.402 0.610
H4 H 0.257 0.598 0.390
H5 H 0.757 0.598 0.110
H6 H 0.281 0.363 0.023
H7 H 0.087 0.749 0.283
H8 H 0.587 0.749 0.217
H9 H 0.470 0.462 0.745
H10 H 0.530 0.538 0.255
H11 H 0.913 0.251 0.717
H12 H 0.781 0.363 0.477
H13 H 0.030 0.538 0.245
H14 H 0.243 0.402 0.890
H15 H 0.719 0.637 0.977
H16 H 0.970 0.462 0.755
C1 C 0.070 0.786 0.701
C2 C 0.490 0.041 0.247
C3 C 0.570 0.786 0.799
C4 C 0.990 0.041 0.253
C5 C 0.930 0.214 0.299
C6 C 0.510 0.959 0.753
C7 C 0.010 0.959 0.747
C8 C 0.430 0.214 0.201
O1 O 0.565 0.761 0.911
O2 O 0.805 0.584 0.028
O3 O 0.001 0.984 0.858
O4 O 0.471 0.062 0.835
O5 O 0.435 0.239 0.089
O6 O 0.382 0.316 0.279
O7 O 0.999 0.016 0.142
O8 O 0.971 0.062 0.665
O9 O 0.935 0.239 0.411
O10 O 0.118 0.684 0.779
O11 O 0.140 0.648 0.250
O12 O 0.618 0.684 0.721
O13 O 0.195 0.416 0.972
O14 O 0.305 0.584 0.472
O15 O 0.029 0.938 0.335
O16 O 0.360 0.352 0.750
O17 O 0.501 0.984 0.642
O18 O 0.499 0.016 0.358
O19 O 0.065 0.761 0.589
O20 O 0.640 0.648 0.250
O21 O 0.529 0.938 0.165
O22 O 0.882 0.316 0.221
O23 O 0.860 0.352 0.750
O24 O 0.695 0.416 0.528
Ba1 Ba 0.295 0.202 0.510
Ba2 Ba 0.705 0.798 0.490
Ba3 Ba 0.205 0.798 0.010
Ba4 Ba 0.795 0.202 0.990

=====

# 6
# Li5B8C8 | Alexandria via LeMat-Bulk | PBE | optimized geometry
# * ΔH_f (0 K): -137 meV/atom
# * symmetry: No. 12
# * D(E_F): 3.89 states/eV/f.u.
# * polymorph energy (0 for the lowest one): 0.17 eV per formula unit
data_Li5B8C8
_cell_length_a 5.410
_cell_length_b 5.456
_cell_length_c 7.194
_cell_angle_alpha 90.00
_cell_angle_beta 90.99
_cell_angle_gamma 120.28
_symmetry_space_group_name_H-M 'P 1'
_symmetry_Int_Tables_number 1
loop_
_symmetry_equiv_pos_as_xyz
'x,y,z'
loop_
_atom_site_label
_atom_site_type_symbol
_atom_site_fract_x
_atom_site_fract_y
_atom_site_fract_z
Li1 Li 0.000 0.500 0.000
Li2 Li 0.000 0.500 0.500
Li3 Li 0.000 0.000 0.500
Li4 Li 0.000 0.000 0.000
Li5 Li 0.500 0.000 0.500
B1 B 0.167 0.833 0.252
B2 B 0.338 0.668 0.755
B3 B 0.170 0.335 0.260
B4 B 0.662 0.830 0.245
B5 B 0.662 0.332 0.245
B6 B 0.833 0.167 0.748
B7 B 0.830 0.665 0.740
B8 B 0.338 0.170 0.755
C1 C 0.827 0.663 0.243
C2 C 0.326 0.163 0.259
C3 C 0.674 0.337 0.741
C4 C 0.173 0.337 0.757
C5 C 0.173 0.836 0.748
C6 C 0.674 0.837 0.741
C7 C 0.827 0.164 0.252
C8 C 0.326 0.663 0.259

=====

# 7
# Pr2ErSc | Alexandria via LeMat-Bulk | PBE | optimized geometry
# * ΔH_f (0 K): 49 meV/atom
# * symmetry: No. 166
# * D(E_F): 4.40 states/eV/f.u.
# * polymorph energy (0 for the lowest one): 0.04 eV per formula unit
data_Pr2ErSc
_cell_length_a 3.571
_cell_length_b 3.571
_cell_length_c 11.562
_cell_angle_alpha 81.11
_cell_angle_beta 81.11
_cell_angle_gamma 60.00
_symmetry_space_group_name_H-M 'P 1'
_symmetry_Int_Tables_number 1
loop_
_symmetry_equiv_pos_as_xyz
'x,y,z'
loop_
_atom_site_label
_atom_site_type_symbol
_atom_site_fract_x
_atom_site_fract_y
_atom_site_fract_z
Pr1 Pr 0.253 0.253 0.242
Pr2 Pr 0.747 0.747 0.758
Er1 Er 0.500 0.500 0.500
Sc1 Sc 0.000 0.000 0.000

=====

# 8
# Sr2Zn | Alexandria via LeMat-Bulk | PBE | optimized geometry
# * ΔH_f (0 K): -54 meV/atom
# * symmetry: No. 227
# * D(E_F): 4.22 states/eV/f.u.
data_Sr2Zn
_cell_length_a 10.945
_cell_length_b 10.945
_cell_length_c 10.945
_cell_angle_alpha 60.00
_cell_angle_beta 60.00
_cell_angle_gamma 60.00
_symmetry_space_group_name_H-M 'P 1'
_symmetry_Int_Tables_number 1
loop_
_symmetry_equiv_pos_as_xyz
'x,y,z'
loop_
_atom_site_label
_atom_site_type_symbol
_atom_site_fract_x
_atom_site_fract_y
_atom_site_fract_z
Zn1 Zn 0.722 0.722 0.222
Zn2 Zn 0.278 0.278 0.166
Zn3 Zn 0.334 0.722 0.222
Zn4 Zn 0.278 0.278 0.778
Zn5 Zn 0.666 0.278 0.778
Zn6 Zn 0.278 0.666 0.778
Zn7 Zn 0.722 0.722 0.834
Zn8 Zn 0.722 0.334 0.222
Sr1 Sr 0.317 0.933 0.433
Sr2 Sr 0.933 0.933 0.817
Sr3 Sr 0.683 0.683 0.567
Sr4 Sr 0.500 0.500 0.500
Sr5 Sr 0.000 0.500 0.000
Sr6 Sr 0.317 0.317 0.433
Sr7 Sr 0.500 0.000 0.000
Sr8 Sr 0.933 0.317 0.433
Sr9 Sr 0.683 0.067 0.567
Sr10 Sr 0.317 0.933 0.817
Sr11 Sr 0.683 0.067 0.183
Sr12 Sr 0.067 0.067 0.183
Sr13 Sr 0.067 0.683 0.567
Sr14 Sr 0.500 0.500 0.000
Sr15 Sr 0.933 0.317 0.817
Sr16 Sr 0.067 0.683 0.183

=====

| no. | calculated volume (A^3/atom) |
| --- | --- |
| 1 | 23.90 |
| 2 | 10.18 |
| 3 | 38.85 |
| 4 | 20.46 |
| 5 | 11.28 |
| 6 | 8.73 |
| 7 | 31.42 |
| 8 | 38.63 |